No. 1
! CeNd2InO, optimized geometry, DFT PBE; values from VASP
&SYSTEM
  ibrav = 0, nat = 5, ntyp = 4
/
ATOMIC_SPECIES
Ce 140.12 Ce.upf
Nd 144.24 Nd.upf
In 114.82 In.upf
O 16.00 O.upf
CELL_PARAMETERS angstrom
5.0178 0.0000 0.0000
0.0000 5.0178 0.0000
0.0000 0.0000 4.8673
ATOMIC_POSITIONS angstrom
Ce 0.0000 0.0000 0.0000
Nd 0.0000 2.5089 2.4336
Nd 2.5089 0.0000 2.4336
In 2.5089 2.5089 0.0000
O 0.0000 0.0000 2.4336
! E, eV per atom: -5.9891
! Formation energy (no corrections), kJ per mole of atoms: -130.8
! Symmetry: P4/mmm
! Magnetization, μB/atom: 0.215

---

No. 2
! Ce2NdInO, optimized geometry, DFT PBE; values from VASP
&SYSTEM
  ibrav = 0, nat = 5, ntyp = 4
/
ATOMIC_SPECIES
Ce 140.12 Ce.upf
Nd 144.24 Nd.upf
In 114.82 In.upf
O 16.00 O.upf
CELL_PARAMETERS angstrom
4.8811 0.0000 0.0000
0.0000 4.8811 0.0000
0.0000 0.0000 5.0623
ATOMIC_POSITIONS angstrom
Ce 0.0000 2.4405 0.0000
Ce 2.4405 0.0000 0.0000
Nd 0.0000 0.0000 2.5311
In 2.4405 2.4405 2.5311
O 0.0000 0.0000 0.0000
! E, eV per atom: -6.1986
! Formation energy (no corrections), kJ per mole of atoms: -128.5
! Symmetry: P4/mmm
! Magnetization, μB/atom: 0.395

---

No. 3
! CeNdInOs, optimized geometry, DFT PBE; values from VASP
&SYSTEM
  ibrav = 0, nat = 4, ntyp = 4
/
ATOMIC_SPECIES
Ce 140.12 Ce.upf
Nd 144.24 Nd.upf
In 114.82 In.upf
Os 190.23 Os.upf
CELL_PARAMETERS angstrom
3.3913 0.0000 0.0000
0.0000 3.3913 0.0000
0.0000 0.0000 8.7032
ATOMIC_POSITIONS angstrom
Ce 0.0000 0.0000 0.0000
Nd 0.0000 0.0000 3.5710
In 1.6957 1.6957 6.1497
Os 1.6957 1.6957 1.6844
! E, eV per atom: -6.4221
! Symmetry: P4mm
! Calculated formation energy, eV per atom: -0.2546
! Magnetization, μB/atom: 0.001

---

No. 4
! CeNdPaIn, optimized geometry, DFT PBE; values from VASP
&SYSTEM
  ibrav = 0, nat = 4, ntyp = 4
/
ATOMIC_SPECIES
Ce 140.12 Ce.upf
Nd 144.24 Nd.upf
Pa 231.04 Pa.upf
In 114.82 In.upf
CELL_PARAMETERS angstrom
0.0000 3.8238 3.8238
3.8238 0.0000 3.8238
3.8238 3.8238 0.0000
ATOMIC_POSITIONS angstrom
Ce 0.0000 0.0000 0.0000
Nd 3.8238 3.8238 3.8238
Pa 1.9119 1.9119 1.9119
In 5.7358 5.7358 5.7358
! E, eV per atom: -5.6198
! Symmetry: F-43m
! Calculated formation energy, eV per atom: 0.1142
! Magnetization, μB/atom: 0.502

---

No. 5
! CeNdInPb, optimized geometry, DFT PBE; values from VASP
&SYSTEM
  ibrav = 0, nat = 4, ntyp = 4
/
ATOMIC_SPECIES
Ce 140.12 Ce.upf
Nd 144.24 Nd.upf
In 114.82 In.upf
Pb 207.20 Pb.upf
CELL_PARAMETERS angstrom
-2.5326 2.5326 4.5632
2.5326 -2.5326 4.5632
2.5326 2.5326 -4.5632
ATOMIC_POSITIONS angstrom
Ce 0.0000 0.0000 0.0000
Nd 0.0000 0.0000 4.5632
In 0.0000 2.5326 2.2816
Pb 2.5326 0.0000 2.2816
! E, eV per atom: -4.7193
! Energy above the lowest structure with this stoichiometry, eV/atom: 0.000
! Symmetry: I-4m2
! Calculated formation energy, eV per atom: -0.4321
! Magnetization, μB/atom: 0.356

---

No. 6
! CeNdInPb, optimized geometry, DFT PBE; values from VASP
&SYSTEM
  ibrav = 0, nat = 4, ntyp = 4
/
ATOMIC_SPECIES
Ce 140.12 Ce.upf
Nd 144.24 Nd.upf
In 114.82 In.upf
Pb 207.20 Pb.upf
CELL_PARAMETERS angstrom
0.0000 3.9091 3.9091
3.9091 0.0000 3.9091
3.9091 3.9091 0.0000
ATOMIC_POSITIONS angstrom
Ce 0.0000 0.0000 0.0000
Nd 3.9091 3.9091 3.9091
In 5.8636 5.8636 5.8636
Pb 1.9545 1.9545 1.9545
! E, eV per atom: -4.6803
! Energy above the lowest structure with this stoichiometry, eV/atom: 0.039
! Symmetry: F-43m
! Calculated formation energy, eV per atom: -0.3932
! Magnetization, μB/atom: 0.323

---

No. 7
! CePm2NdIn4, optimized geometry, DFT PBE; values from VASP
&SYSTEM
  ibrav = 0, nat = 8, ntyp = 4
/
ATOMIC_SPECIES
Ce 140.12 Ce.upf
Pm 145.00 Pm.upf
Nd 144.24 Nd.upf
In 114.82 In.upf
CELL_PARAMETERS angstrom
2.7296 1.5759 8.9315
-2.7296 1.5759 8.9315
0.0000 -3.1518 8.9315
ATOMIC_POSITIONS angstrom
Ce 0.0000 0.0000 0.0000
Pm 0.0000 0.0000 6.6928
Pm 0.0000 0.0000 20.1018
Nd 0.0000 0.0000 13.3973
In 0.0000 0.0000 3.3486
In 0.0000 0.0000 10.0461
In 0.0000 0.0000 16.7486
In 0.0000 0.0000 23.4460
! E, eV per atom: -4.3433
! Symmetry: R-3m
! Calculated formation energy, eV per atom: -0.4487
! Magnetization, μB/atom: 0.126

---

No. 8
! CeNdPuIn, optimized geometry, DFT PBE; values from VASP
&SYSTEM
  ibrav = 0, nat = 4, ntyp = 4
/
ATOMIC_SPECIES
Ce 140.12 Ce.upf
Nd 144.24 Nd.upf
Pu 244.00 Pu.upf
In 114.82 In.upf
CELL_PARAMETERS angstrom
0.0000 3.8286 3.8286
3.8286 0.0000 3.8286
3.8286 3.8286 0.0000
ATOMIC_POSITIONS angstrom
Ce 0.0000 0.0000 0.0000
Nd 1.9143 1.9143 1.9143
Pu 5.7429 5.7429 5.7429
In 3.8286 3.8286 3.8286
! E, eV per atom: -6.9836
! Symmetry: F-43m
! Calculated formation energy, eV per atom: -0.0406
! Magnetization, μB/atom: 2.185

---

No. 9
! CeNdScIn, optimized geometry, DFT PBE; values from VASP
&SYSTEM
  ibrav = 0, nat = 4, ntyp = 4
/
ATOMIC_SPECIES
Ce 140.12 Ce.upf
Nd 144.24 Nd.upf
Sc 44.96 Sc.upf
In 114.82 In.upf
CELL_PARAMETERS angstrom
0.0000 3.7733 3.7733
3.7733 0.0000 3.7733
3.7733 3.7733 0.0000
ATOMIC_POSITIONS angstrom
Ce 0.0000 0.0000 0.0000
Nd 1.8867 1.8867 1.8867
Sc 5.6600 5.6600 5.6600
In 3.7733 3.7733 3.7733
! E, eV per atom: -5.0192
! Symmetry: F-43m
! Calculated formation energy, eV per atom: -0.0763
! Magnetization, μB/atom: 0.000

---

No. 10
! CeNdSm2In4, optimized geometry, DFT PBE; values from VASP
&SYSTEM
  ibrav = 0, nat = 8, ntyp = 4
/
ATOMIC_SPECIES
Ce 140.12 Ce.upf
Nd 144.24 Nd.upf
Sm 150.36 Sm.upf
In 114.82 In.upf
CELL_PARAMETERS angstrom
2.7227 1.5719 8.9098
-2.7227 1.5719 8.9098
0.0000 -3.1439 8.9098
ATOMIC_POSITIONS angstrom
Ce 0.0000 0.0000 0.0000
Nd 0.0000 0.0000 13.3647
Sm 0.0000 0.0000 6.6777
Sm 0.0000 0.0000 20.0518
In 0.0000 0.0000 3.3412
In 0.0000 0.0000 10.0222
In 0.0000 0.0000 16.7072
In 0.0000 0.0000 23.3882
! E, eV per atom: -4.3338
! Symmetry: R-3m
! Calculated formation energy, eV per atom: -0.4471
! Magnetization, μB/atom: 0.124

---

No. 11
! CeNdInSn, optimized geometry, DFT PBE; values from VASP
&SYSTEM
  ibrav = 0, nat = 4, ntyp = 4
/
ATOMIC_SPECIES
Ce 140.12 Ce.upf
Nd 144.24 Nd.upf
In 114.82 In.upf
Sn 118.71 Sn.upf
CELL_PARAMETERS angstrom
0.0000 3.8724 3.8724
3.8724 0.0000 3.8724
3.8724 3.8724 0.0000
ATOMIC_POSITIONS angstrom
Ce 0.0000 0.0000 0.0000
Nd 3.8724 3.8724 3.8724
In 5.8086 5.8086 5.8086
Sn 1.9362 1.9362 1.9362
! E, eV per atom: -4.8438
! Symmetry: F-43m
! Calculated formation energy, eV per atom: -0.4830
! Magnetization, μB/atom: 0.324

---

No. 12
! TbCeNdIn, optimized geometry, DFT PBE; values from VASP
&SYSTEM
  ibrav = 0, nat = 4, ntyp = 4
/
ATOMIC_SPECIES
Tb 158.93 Tb.upf
Ce 140.12 Ce.upf
Nd 144.24 Nd.upf
In 114.82 In.upf
CELL_PARAMETERS angstrom
0.0000 3.8671 3.8671
3.8671 0.0000 3.8671
3.8671 3.8671 0.0000
ATOMIC_POSITIONS angstrom
Tb 0.0000 0.0000 0.0000
Ce 1.9335 1.9335 1.9335
Nd 3.8671 3.8671 3.8671
In 5.8006 5.8006 5.8006
! E, eV per atom: -4.6023
! Symmetry: F-43m
! Calculated formation energy, eV per atom: -0.0847
! Magnetization, μB/atom: 0.000

---

No. 13
! CeNdIn2Te4, optimized geometry, DFT PBE; values from VASP
&SYSTEM
  ibrav = 0, nat = 8, ntyp = 4
/
ATOMIC_SPECIES
Ce 140.12 Ce.upf
Nd 144.24 Nd.upf
In 114.82 In.upf
Te 127.60 Te.upf
CELL_PARAMETERS angstrom
7.8525 0.0000 0.0000
0.0000 4.5357 0.0000
-2.6178 0.0000 8.1262
ATOMIC_POSITIONS angstrom
Ce 0.0000 0.0000 0.0000
Nd 3.9263 2.2679 0.0000
In -1.3089 2.2679 4.0631
In 2.6173 0.0000 4.0631
Te 1.3109 2.2679 1.8351
Te 0.0025 0.0000 6.2886
Te 5.2322 0.0000 1.8376
Te 3.9238 2.2679 6.2912
! E, eV per atom: -4.5472
! Formation energy (no corrections), kJ per mole of atoms: -92.0
! Symmetry: P2/m
! Magnetization, μB/atom: 0.126